VASP calculation (PBE) on a geometry-optimized MgCu structure.

Summary:
Total moment   0.0 μB/cell
Formation energy   -0.037 eV per atom
Calculated density   4.4 g/cm³

Cell lengths 7.7354, 7.7354, 4.4501 Å; angles 90.00, 90.00, 90.00 degrees
Closest atoms and distances in Å follow each position.
Space group I4/mmm (No. 139)
Symmetry-distinct sites (fractional):
Mg 0.0000 0.2859 0.0000  6 Cu 2.65-2.73
Cu 0.1615 0.1615 0.5000  2 Cu 2.50, 6 Mg 2.65-2.73